1.
First-principles (GGA-PBE) data for crystalline LiLaZn2 at its relaxed geometry, as listed in Alexandria via LeMat-Bulk.

Cell: 9.1828 9.1828 9.1828 Å, 21.88 21.88 21.88°
Last column: nearest neighbours and their distance in Å.
Element x y z (fractional)
1 Li 0.0000 0.0000 0.0000  3 Zn 2.70
2 La 0.2211 0.2211 0.2211  3 Zn 3.19, 6 La 3.49
3 Zn 0.4621 0.4621 0.4621  3 Zn 2.61
4 Zn 0.7336 0.7336 0.7336  3 Zn 2.61, 3 Li 2.70

Values from the calculation:
- D(E_F) (states/eV per atom) = 0.82
- mass density (g/cm3) = 4.9
- energy relative to the elements (eV/f.u.) = 0.28

***

2.
First-principles (GGA-PBE) data for crystalline UPaNbSb at its relaxed geometry, as listed in Alexandria via LeMat-Bulk.

Cell: 5.1322 5.1322 5.1322 Å, 60.00 60.00 60.00°
Last column: nearest neighbours and their distance in Å.
Element x y z (fractional)
1 U 0.0000 0.0000 0.0000  4 Nb 3.14, 4 Sb 3.14
2 Pa 0.5000 0.5000 0.5000  4 Sb 3.14, 4 Nb 3.14
3 Nb 0.2500 0.2500 0.2500  4 Pa 3.14, 4 U 3.14
4 Sb 0.7500 0.7500 0.7500  4 Pa 3.14, 4 U 3.14

Values from the calculation:
- D(E_F) (states/eV per atom) = 2.63
- mass density (g/cm3) = 11.9
- formation energy (no corrections) (eV per formula unit) = 1.12

***

3.
First-principles (GGA-PBE) data for crystalline Th2Hg2Au at its relaxed geometry, as listed in Alexandria via LeMat-Bulk.

Cell: 3.4306 8.1368 8.1368 Å, 34.41 90.00 90.00°
Last column: nearest neighbours and their distance in Å.
Element x y z (fractional)
1 Th 0.0000 0.0000 0.0000  4 Au 3.20, 6 Hg 3.31-3.47, 2 Th 3.43
2 Th 0.0000 0.2369 0.2369  8 Hg 3.21-3.50, 2 Au 3.34, 2 Th 3.43
3 Hg 0.5000 0.6164 0.6164  1 Au 3.03, 1 Hg 3.13
4 Hg 0.5000 0.8176 0.8176  2 Au 2.90, 1 Hg 3.13, 4 Th 3.21
5 Au 0.5000 0.4213 0.4213  3 Hg 2.90-3.03, 4 Th 3.20

Values from the calculation:
- D(E_F) (states/eV per atom) = 1.10
- mass density (g/cm3) = 13.7
- energy relative to the elements (eV/f.u.) = -1.85

***

4.
First-principles (GGA-PBE) data for crystalline AlAgGe2H at its relaxed geometry, as listed in Alexandria via LeMat-Bulk.

Cell: 4.9949 4.9949 4.9085 Å, 90.00 90.00 90.00°
Last column: nearest neighbours and their distance in Å.
Element x y z (fractional)
1 Al 0.0000 0.0000 0.0000  2 Ag 2.45
2 Ag 0.0000 0.0000 0.5000  2 Al 2.45, 4 Ge 2.50
3 Ge 0.0000 0.5000 0.5000  2 Ag 2.50
4 Ge 0.5000 0.0000 0.5000  2 Ag 2.50
5 H 0.5000 0.5000 0.0000  8 Ge 3.50, 4 Al 3.53

Values from the calculation:
- D(E_F) (states/eV per atom) = 0.75
- mass density (g/cm3) = 3.8
- total energy (eV/atom) = -2.735

***

5.
First-principles (GGA-PBE) data for crystalline V6Si3N at its relaxed geometry, as listed in Alexandria via LeMat-Bulk.

Cell: 5.6552 5.6552 6.7455 Å, 124.57 124.57 52.33°
Last column: nearest neighbours and their distance in Å.
Element x y z (fractional)
1 V 0.1617 0.6660 0.6282  1 N 2.00
2 V 0.2257 0.2257 0.8395  1 N 1.96
3 V 0.3340 0.8383 0.3718  1 N 2.00
4 V 0.6660 0.1617 0.6282  1 N 2.00
5 V 0.7743 0.7743 0.1605  1 N 1.96
6 V 0.8383 0.3340 0.3718  1 N 2.00
7 Si 0.1935 0.1935 0.1673  5 V 2.43-2.63
8 Si 0.5000 0.5000 0.0000  6 V 2.26-2.42
9 Si 0.8065 0.8065 0.8327  5 V 2.43-2.63
10 N 0.0000 0.0000 0.5000  6 V 1.96-2.00

Values from the calculation:
- D(E_F) (states/eV per atom) = 0.68
- mass density (g/cm3) = 5.1
- formation energy (no corrections) (eV per formula unit) = -3.11

***

6.
First-principles (GGA-PBE) data for crystalline Ca3SnN at its relaxed geometry, as listed in Alexandria via LeMat-Bulk.

Cell: 4.9130 4.9130 4.9130 Å, 90.00 90.00 90.00°
Last column: nearest neighbours and their distance in Å.
Element x y z (fractional)
1 Ca 0.0000 0.0000 0.5000  2 N 2.46
2 Ca 0.0000 0.5000 0.0000  2 N 2.46
3 Ca 0.5000 0.0000 0.0000  2 N 2.46
4 Sn 0.5000 0.5000 0.5000  12 Ca 3.47
5 N 0.0000 0.0000 0.0000  6 Ca 2.46

Values from the calculation:
- D(E_F) (states/eV per atom) = 0.95
- mass density (g/cm3) = 3.5
- formation energy (no corrections) (eV per formula unit) = -4.06
- distance to the lowest polymorph of the same formula (meV/atom) = 0

***

7.
First-principles (GGA-PBE) data for crystalline Tl2CrFeH at its relaxed geometry, as listed in Alexandria via LeMat-Bulk.

Cell: 5.1130 5.1130 4.2297 Å, 90.00 90.00 90.00°
Last column: nearest neighbours and their distance in Å.
Element x y z (fractional)
1 Tl 0.0000 0.5000 0.0000  2 Fe 2.56
2 Tl 0.5000 0.0000 0.0000  2 Fe 2.56
3 Cr 0.0000 0.0000 0.5000  2 Fe 2.11
4 Fe 0.0000 0.0000 0.0000  2 Cr 2.11
5 H 0.5000 0.5000 0.5000  8 Tl 3.32, 4 Cr 3.62

Values from the calculation:
- D(E_F) (states/eV per atom) = 0.67
- mass density (g/cm3) = 7.8
- total energy (eV/atom) = -4.295

***

8.
First-principles (GGA-PBE) data for crystalline Tm5Th at its relaxed geometry, as listed in Alexandria via LeMat-Bulk.

Cell: 6.6431 6.6431 8.3326 Å, 102.82 102.82 31.21°
Last column: nearest neighbours and their distance in Å.
Element x y z (fractional)
1 Tm 0.0000 0.0000 0.0000  10 Tm 3.45-3.59, 2 Th 3.47
2 Tm 0.0526 0.0526 0.6123  10 Tm 3.45-3.58, 2 Th 3.63
3 Tm 0.3310 0.3310 0.6658  11 Tm 3.47-3.58, 1 Th 3.51
4 Tm 0.6651 0.6651 0.3390  9 Tm 3.46-3.59, 3 Th 3.47-3.52
5 Tm 0.7221 0.7221 0.9458  10 Tm 3.47-3.58, 2 Th 3.49
6 Th 0.3832 0.3832 0.2708  10 Tm 3.47-3.63, 2 Th 3.57

Values from the calculation:
- D(E_F) (states/eV per atom) = 1.72
- mass density (g/cm3) = 9.6
- energy relative to the elements (eV/f.u.) = 0.10
- distance to the lowest polymorph of the same formula (meV/atom) = 0

***

> Which value of mass density does entry 1 give?

4.9 g/cm3

***

> D(E_F) of number 3 (Th2Hg2Au)?

1.10 states/eV per atom

***

> Among the records above, which one has the highest mass density?

Th2Hg2Au